## Cu2Te4F (PBE)

Data for Cu2Te4F after structural relaxation.

Summary:
The value obtained for the uncorrected formation energy is -0.2619 eV per atom. For the raw total energy, the calculation gives -3.495 eV per atom. The crystal system is triclinic.

a b c (Å): 6.9300 7.1210 8.1788
angles (deg): 65.95 67.77 77.68
Space group P1 (No. 1)
Inequivalent atoms, fractional coordinates:
Cu: 0.0000 0.0000 0.0000 [1 per cell]
Cu: 0.9998 0.0000 0.4995 [1 per cell]
Cu: 0.5013 0.0009 0.9988 [1 per cell]
Cu: 0.9987 0.4995 0.5007 [1 per cell]
Te: 0.1558 0.1856 0.1384 [1 per cell]
Te: 0.1878 0.1554 0.6355 [1 per cell]
Te: 0.3252 0.6587 0.0541 [1 per cell]
Te: 0.3593 0.6700 0.4244 [1 per cell]
Te: 0.6394 0.3280 0.5771 [1 per cell]
Te: 0.6770 0.3422 0.9454 [1 per cell]
Te: 0.8114 0.8442 0.3642 [1 per cell]
Te: 0.8458 0.8141 0.8606 [1 per cell]
F: 0.3578 0.6972 0.7786 [1 per cell]
F: 0.6464 0.3055 0.2199 [1 per cell]

---

## Bi2AuSe2 (PBE)

Data for Bi2AuSe2 after structural relaxation.

Summary:
The value obtained for the uncorrected formation energy is -0.1961 eV per atom. For the raw total energy, the calculation gives -3.798 eV per atom. The crystal system is monoclinic. For the energy above the most stable polymorph in this dataset, the calculation gives 0.000 eV per atom.

a b c (Å): 5.8633 4.1826 13.3542
angles (deg): 90.00 100.77 90.00
Space group P2_1/m (No. 11)
Inequivalent atoms, fractional coordinates:
Bi: 0.1168 0.2500 0.2053 [2 per cell]
Bi: 0.2866 0.2500 0.5940 [2 per cell]
Au: 0.0386 0.7500 0.0660 [2 per cell]
Se: 0.2196 0.7500 0.4260 [2 per cell]
Se: 0.3494 0.7500 0.7511 [2 per cell]

---

## K2PaAl2O7 (PBE)

Data for K2PaAl2O7 after structural relaxation.

Summary:
The value obtained for the uncorrected formation energy is -2.6818 eV per atom. For the raw total energy, the calculation gives -7.172 eV per atom. The crystal system is trigonal.

a b c (Å): 5.9799 5.9799 21.4860
angles (deg): 90.00 90.00 120.00
Space group R-3m (No. 166, hexagonal axes)
Inequivalent atoms, fractional coordinates:
K: 0.0000 0.0000 0.2480 [6 per cell]
Pa: 0.0000 0.0000 0.5000 [3 per cell]
Al: 0.0000 0.0000 0.0807 [6 per cell]
O: 0.0000 0.0000 0.0000 [3 per cell]
O: 0.0128 0.5064 0.7758 [18 per cell]

---

## BeAsRh (PBE)

Data for BeAsRh after structural relaxation.

Summary:
For the raw total energy, the calculation gives -5.392 eV per atom. The crystal system is cubic. For the energy above the most stable polymorph in this dataset, the calculation gives 0.086 eV per atom. The calculation puts the energy relative to the elements at -150 meV per atom.

a b c (Å): 5.4864 5.4864 5.4864
angles (deg): 90.00 90.00 90.00
Space group F-43m (No. 216)
Inequivalent atoms, fractional coordinates:
Be: 0.0000 0.0000 0.0000 [4 per cell]
As: 0.2500 0.2500 0.2500 [4 per cell]
Rh: 0.2500 0.2500 0.7500 [4 per cell]